Density functional theory data (PBE-GGA) for an optimized crystal structure of GaSi3Pd.

Cell: 4.7189 4.7189 4.7189 Å, 90.00 90.00 90.00°
Sites, in units of the cell vectors:
Pd 0.0000 0.0000 0.0000
Si 0.5000 0.0000 0.0000
Si 0.0000 0.0000 0.5000
Si 0.0000 0.5000 0.0000
Ga 0.5000 0.5000 0.5000

Values from the calculation:
As for the spin magnetization: 0.0 μB/f.u. For the density of states at the Fermi level, the calculation gives 0.87 states/eV/atom.



Density functional theory data (PBE-GGA) for an optimized crystal structure of Ga2SiPd4.

Cell: 4.4896 4.4896 7.1787 Å, 71.78 71.78 90.00°
Sites, in units of the cell vectors:
Ga 0.3725 0.3725 0.2551
Ga 0.6275 0.6275 0.7449
Pd 0.5000 0.0000 0.0000
Pd 0.0000 0.5000 0.0000
Pd 0.1819 0.1819 0.6361
Pd 0.8181 0.8181 0.3639
Si 0.0000 0.0000 0.0000

Values from the calculation:
As for the spin magnetization: 0.0 μB/f.u. For the density of states at the Fermi level, the calculation gives 0.64 states/eV/atom.



Density functional theory data (PBE-GGA) for an optimized crystal structure of Ga2SiPd8.

Cell: 4.0946 5.5265 8.0042 Å, 105.42 104.82 90.00°
Sites, in units of the cell vectors:
Si 0.5000 0.0000 0.0000
Pd 0.7865 0.6951 0.5730
Pd 0.3494 0.0313 0.6988
Pd 0.5989 0.4343 0.1978
Pd 0.4011 0.5657 0.8022
Pd 0.6506 0.9687 0.3012
Pd 0.9782 0.2342 0.9564
Pd 0.0218 0.7658 0.0436
Pd 0.2135 0.3049 0.4270
Ga 0.1820 0.7251 0.3640
Ga 0.8180 0.2749 0.6360

Values from the calculation:
As for the spin magnetization: 0.0 μB/f.u. For the density of states at the Fermi level, the calculation gives 0.37 states/eV/atom.



Values for formation energy without anion corrections, eV/atom, ordered as above
0.60; -0.09; -0.53
Values for total energy, eV/atom, ordered as above
-4.3027; -4.6953; -5.3533
Values for excess energy over the best structure of this formula in the dataset, kJ/mol of formula units, ordered as above
0; 312; 0